Entry from Alexandria: KPuAu10 after structural relaxation (PBE-GGA).

Lattice parameters (Å, degrees): 4.641 5.678 9.889 90.00 90.00 90.00
Site moments in Bohr magnetons follow the coordinates.
Fractional coordinates of all 12 atoms:
Au1 0.500 0.000 0.500  0.01
Au2 0.500 0.500 0.000  0.01
Au3 0.500 0.255 0.257  0.01
Au4 0.000 0.000 0.337  0.01
Au5 0.000 0.500 0.828  0.01
Au6 0.500 0.745 0.257  0.01
Au7 0.000 0.000 0.663  0.01
Au8 0.000 0.500 0.172  0.01
Au9 0.500 0.255 0.743  0.01
Au10 0.500 0.745 0.743  0.01
Pu1 0.000 0.500 0.500  5.50
K1 0.000 0.000 0.000  0.00

Values from the calculation:
Its space group is Pmmm, No. 47. The formation energy comes out at -0.216 eV/atom. The value obtained for the size of the total moment is 5.90 μB/cell.